[1]
Entry from the Alexandria database: Zr3Ga2 after structural relaxation (PBE-GGA).

Output
Space-group type: No. 127
Energy relative to the elements in eV/atom: -0.5448
Calculated total energy in Ry/atom: -0.506

Unit cell a=7.355 b=7.355 c=3.720 alpha=90.00 beta=90.00 gamma=90.00
Element x y z (fractional)
Zr 0.000 0.000 0.000
Zr 0.177 0.323 0.500
Zr 0.323 0.823 0.500
Zr 0.500 0.500 0.000
Zr 0.677 0.177 0.500
Zr 0.823 0.677 0.500
Ga 0.123 0.623 0.000
Ga 0.377 0.123 0.000
Ga 0.623 0.877 0.000
Ga 0.877 0.377 0.000

---

[2]
Entry from the Alexandria database: ZrGa after structural relaxation (PBE-GGA).

Output
Space-group type: No. 83
Energy relative to the elements in eV/atom: -0.1449
Calculated total energy in Ry/atom: -0.436

Unit cell a=10.190 b=10.190 c=3.190 alpha=90.00 beta=90.00 gamma=90.00
Element x y z (fractional)
Zr 0.057 0.189 0.000
Zr 0.189 0.943 0.000
Zr 0.197 0.676 0.500
Zr 0.324 0.197 0.500
Zr 0.676 0.803 0.500
Zr 0.803 0.324 0.500
Zr 0.811 0.057 0.000
Zr 0.943 0.811 0.000
Ga 0.091 0.412 0.500
Ga 0.306 0.446 0.000
Ga 0.412 0.909 0.500
Ga 0.446 0.694 0.000
Ga 0.554 0.306 0.000
Ga 0.588 0.091 0.500
Ga 0.694 0.554 0.000
Ga 0.909 0.588 0.500

---

| no. | density of states at the Fermi level (states/eV per atom) |
| --- | --- |
| 1 | 1.336 |
| 2 | 0.870 |